Material: CuW2F2
Method: DFT, PBE+U
State: relaxed

Results
Distance to the lowest polymorph of the same formula (eV/f.u.): 0.74
Electronic total energy (eV/cell): -20.632
Total magnetization (μB per atom): 0.39
Fermi-level density of states (states/eV/cell): 1.79

Cell lengths 4.0907, 4.0907, 5.1875 Å; angles 66.78, 66.78, 90.00 degrees
Site moments in Bohr magnetons follow the coordinates.
Positions (direct):
F: 0.3743 0.3743 0.2514  0.03
W: 0.2500 0.7500 0.5000  0.91
Cu: 0.0000 0.0000 0.0000  0.03
W: 0.7500 0.2500 0.5000  0.91
F: 0.6257 0.6257 0.7486  0.03